No. 1
! Cd2FeP | Alexandria | PBE | relaxed; values from VASP
&SYSTEM
  ibrav = 0, nat = 4, ntyp = 3
/
ATOMIC_SPECIES
Cd 112.41 Cd.upf
Fe 55.84 Fe.upf
P 30.97 P.upf
ATOMIC_POSITIONS crystal
Cd 0.250 0.750 0.500
Cd 0.750 0.250 0.500
Fe 0.000 0.000 0.000
P 0.500 0.500 0.000
CELL_PARAMETERS angstrom
-1.958 1.958 4.526
1.958 -1.958 4.526
1.958 1.958 -4.526
! Calculated volume   69 Å³ per cell
! DFT formation energy   0.42 eV per atom
! N(E_F)   3.0 states/eV/f.u.
! Size of the total moment   0.6419 μB per atom
! E   -3.51 eV/atom

No. 2
! CdFeP2 | Alexandria | PBE | relaxed; values from VASP
&SYSTEM
  ibrav = 0, nat = 4, ntyp = 3
/
ATOMIC_SPECIES
Cd 112.41 Cd.upf
Fe 55.84 Fe.upf
P 30.97 P.upf
ATOMIC_POSITIONS crystal
Cd 0.000 0.000 0.000
Fe 0.000 0.000 0.500
P 0.500 0.500 0.342
P 0.500 0.500 0.658
CELL_PARAMETERS angstrom
2.826 0.000 0.000
0.000 2.826 0.000
0.000 0.000 8.316
! Calculated volume   66 Å³ per cell
! DFT formation energy   0.02 eV per atom
! N(E_F)   1.2 states/eV/f.u.
! Size of the total moment   0.2454 μB per atom
! E   -5.03 eV/atom

No. 3
! CdFeP2 | Alexandria | PBE | relaxed; values from VASP
&SYSTEM
  ibrav = 0, nat = 4, ntyp = 3
/
ATOMIC_SPECIES
Cd 112.41 Cd.upf
Fe 55.84 Fe.upf
P 30.97 P.upf
ATOMIC_POSITIONS crystal
Cd 0.000 0.000 0.000
Fe 0.500 0.500 0.286
P 0.000 0.000 0.417
P 0.500 0.500 0.613
CELL_PARAMETERS angstrom
2.975 0.000 0.000
0.000 2.975 0.000
0.000 0.000 7.129
! Calculated volume   63 Å³ per cell
! DFT formation energy   0.17 eV per atom
! N(E_F)   1.5 states/eV/f.u.
! Size of the total moment   0.3031 μB per atom
! E   -4.88 eV/atom

No. 4
! CdFeP2 | Alexandria | PBE | relaxed; values from VASP
&SYSTEM
  ibrav = 0, nat = 4, ntyp = 3
/
ATOMIC_SPECIES
Cd 112.41 Cd.upf
Fe 55.84 Fe.upf
P 30.97 P.upf
ATOMIC_POSITIONS crystal
Cd 0.000 0.000 0.000
Fe 0.500 0.000 0.500
P 0.288 0.500 0.653
P 0.712 0.500 0.347
CELL_PARAMETERS angstrom
3.466 0.000 0.000
0.000 3.909 0.000
-1.099 0.000 5.064
! Calculated volume   69 Å³ per cell
! DFT formation energy   0.18 eV per atom
! N(E_F)   3.0 states/eV/f.u.
! Size of the total moment   0.4488 μB per atom
! E   -4.87 eV/atom

calculated volume of number 1 (Cd2FeP)?
69 Å³ per cell

Which formula does entry 4 have?
CdFeP2